The following is a DFT calculation (GGA-PBE) of a relaxed structure of Ba2Ga3Cu.

Output
The calculation puts the energy of formation from the pure elements at -7.58 kcal/mol of atoms. Its density of states at the Fermi level is 0.96 states/eV per atom. The space-group type is Pmm2. For the total energy, the calculation gives -3.166 eV per atom.

Structure (CIF):
```
data_Ba2Ga3Cu
_chemical_formula_sum 'Ba2 Ga3 Cu1'
_space_group_name_H-M_alt 'P 1'
_space_group_IT_number 1
_space_group_name_Hall 'P 1'
_cell_length_a 4.414
_cell_length_b 5.019
_cell_length_c 7.736
_cell_angle_alpha 90.00
_cell_angle_beta 90.00
_cell_angle_gamma 90.00
loop_
_atom_site_label
_atom_site_type_symbol
_atom_site_fract_x
_atom_site_fract_y
_atom_site_fract_z
_atom_site_occupancy
Ga1 Ga 0.000 0.500 0.831 1
Ga2 Ga 0.500 0.500 0.337 1
Ga3 Ga 0.000 0.500 0.168 1
Cu1 Cu 0.500 0.500 0.666 1
Ba1 Ba 0.000 0.000 0.501 1
Ba2 Ba 0.500 0.000 0.997 1
```